[1]
Computed, not measured: a relaxed YCoPt2 crystal at the PBE level of DFT.

Unit cell a=4.090 b=4.090 c=8.139 alpha=90.00 beta=90.00 gamma=90.00
Space group I4/mmm (No. 139)
Asymmetric unit:
Y (0.000, 0.000, 0.000) (multiplicity 2)
Co (0.000, 0.000, 0.500) (multiplicity 2)
Pt (0.000, 0.500, 0.250) (multiplicity 4)

DFT formation energy   -0.572 eV per atom


[2]
Computed, not measured: a relaxed AlCu2Ni crystal at the PBE level of DFT.

Unit cell a=3.8259 b=3.8259 c=4.7055 alpha=90.00 beta=90.00 gamma=120.00
Space group P-3m1 (No. 164)
Asymmetric unit:
Al (0.0000, 0.0000, 0.0000) (multiplicity 1)
Cu (0.3333, 0.6667, 0.6886) (multiplicity 2)
Ni (0.0000, 0.0000, 0.5000) (multiplicity 1)

DFT formation energy   0.188 eV per atom


[3]
Computed, not measured: a relaxed TaTe2RhN crystal at the PBE level of DFT.

Unit cell a=5.407 b=5.407 c=4.831 alpha=90.00 beta=90.00 gamma=90.00
Space group P4/mmm (No. 123)
Asymmetric unit:
Ta (0.000, 0.000, 0.000) (multiplicity 1)
Te (0.000, 0.500, 0.000) (multiplicity 2)
Rh (0.000, 0.000, 0.500) (multiplicity 1)
N (0.500, 0.500, 0.500) (multiplicity 1)

E_form (uncorrected)   1.55 eV per atom
E above lowest polymorph   1068 meV per atom


[4]
Computed, not measured: a relaxed Pr5DyAu6 crystal at the PBE level of DFT.

Unit cell a=16.645 b=7.417 c=5.269 alpha=90.00 beta=108.25 gamma=90.00
Space group C2/m (No. 12)
Asymmetric unit:
Pr (0.000, 0.000, 0.000) (multiplicity 2)
Pr (0.164, 0.000, 0.665) (multiplicity 4)
Pr (0.170, 0.500, 0.669) (multiplicity 4)
Dy (0.000, 0.500, 0.000) (multiplicity 2)
Au (0.000, 0.271, 0.500) (multiplicity 4)
Au (0.161, 0.261, 0.160) (multiplicity 8)

DFT formation energy   -0.762 eV per atom


[5]
Computed, not measured: a relaxed Ag3Pd8Pb2 crystal at the PBE level of DFT.

Unit cell a=5.3116 b=5.3116 c=30.2067 alpha=90.00 beta=90.00 gamma=120.00
Space group R-3m (No. 166, hexagonal axes)
Asymmetric unit:
Ag (0.0000, 0.0000, 0.0000) (multiplicity 3)
Ag (0.0000, 0.0000, 0.1847) (multiplicity 6)
Pd (0.0000, 0.0000, 0.2747) (multiplicity 6)
Pd (0.0020, 0.5010, 0.7727) (multiplicity 18)
Pb (0.0000, 0.0000, 0.3641) (multiplicity 6)

DFT formation energy   0.069 eV per atom


no.,total magnetization (Bohr magnetons per cell)
1,3.646
2,0.000
3,2.869
4,0.000
5,0.000